[1]
Below is an optimized crystal structure of RbCr2SnAs, with properties calculated at the PBE level.

abc: 5.0393 5.0393 5.8754
angles: 90.00 90.00 90.00
With the nearest neighbours (Å) after each atom.
Space group P4/mmm (No. 123)
Unique sites:
Rb1 0.0000 0.0000 0.0000 (multiplicity 1)  4 Sn 3.56, 8 Cr 3.87
Cr1 0.0000 0.5000 0.5000 (multiplicity 2)  2 As 2.52
Sn1 0.5000 0.5000 0.0000 (multiplicity 1)  2 As 2.94
As1 0.5000 0.5000 0.5000 (multiplicity 1)  4 Cr 2.52

E   -25.80 eV per cell
DFT formation energy   613 meV/atom
Polymorph energy (0 for the lowest one)   0.0 meV/atom


[2]
Below is an optimized crystal structure of RbCr2SnAs, with properties calculated at the PBE level.

abc: 4.5353 4.5353 5.8670
angles: 90.00 90.00 90.00
With the nearest neighbours (Å) after each atom.
Space group P4/mmm (No. 123)
Unique sites:
Rb1 0.0000 0.0000 0.0000 (multiplicity 1)  4 Cr 2.27
Cr1 0.0000 0.5000 0.0000 (multiplicity 2)  2 Rb 2.27
Sn1 0.0000 0.0000 0.5000 (multiplicity 1)  2 Rb 2.93, 4 As 3.21
As1 0.5000 0.5000 0.5000 (multiplicity 1)  4 Sn 3.21

E   -14.95 eV per cell
DFT formation energy   2784 meV/atom
Polymorph energy (0 for the lowest one)   2170.8 meV/atom


[3]
Below is an optimized crystal structure of RbSr2CrAs, with properties calculated at the PBE level.

abc: 6.2832 6.2832 4.8490
angles: 90.00 90.00 90.00
With the nearest neighbours (Å) after each atom.
Space group P4/mmm (No. 123)
Unique sites:
Rb1 0.0000 0.0000 0.0000 (multiplicity 1)  8 Sr 3.97, 4 As 4.44
Sr1 0.0000 0.5000 0.5000 (multiplicity 2)  2 Cr 3.14
Cr1 0.5000 0.5000 0.5000 (multiplicity 1)  2 As 2.42
As1 0.5000 0.5000 0.0000 (multiplicity 1)  2 Cr 2.42

E   -17.64 eV per cell
DFT formation energy   193 meV/atom
Polymorph energy (0 for the lowest one)   0.0 meV/atom


[4]
Below is an optimized crystal structure of RbSr2CrAs, with properties calculated at the PBE level.

abc: 6.4334 6.4334 5.4662
angles: 90.00 90.00 90.00
With the nearest neighbours (Å) after each atom.
Space group P4/mmm (No. 123)
Unique sites:
Rb1 0.0000 0.0000 0.0000 (multiplicity 1)  2 As 2.73
Sr1 0.0000 0.5000 0.0000 (multiplicity 2)  2 Rb 3.22
Cr1 0.5000 0.5000 0.5000 (multiplicity 1)  8 Sr 4.22, 4 As 4.55
As1 0.0000 0.0000 0.5000 (multiplicity 1)  2 Rb 2.73

E   -9.91 eV per cell
DFT formation energy   1738 meV/atom
Polymorph energy (0 for the lowest one)   1545.0 meV/atom


[5]
Below is an optimized crystal structure of RbSrCrAs2, with properties calculated at the PBE level.

abc: 5.8176 5.8176 5.9690
angles: 90.00 90.00 90.00
With the nearest neighbours (Å) after each atom.
Space group P4/mmm (No. 123)
Unique sites:
Rb1 0.0000 0.0000 0.0000 (multiplicity 1)  4 Cr 4.11, 8 As 4.17
Sr1 0.5000 0.5000 0.5000 (multiplicity 1)  4 As 2.91, 2 Cr 2.98
Cr1 0.5000 0.5000 0.0000 (multiplicity 1)  2 Sr 2.98
As1 0.0000 0.5000 0.5000 (multiplicity 2)  2 Sr 2.91

E   -18.13 eV per cell
DFT formation energy   687 meV/atom


[6]
Below is an optimized crystal structure of Rb2TlCrAs, with properties calculated at the PBE level.

abc: 6.8411 6.8411 4.7344
angles: 90.00 90.00 90.00
With the nearest neighbours (Å) after each atom.
Space group P4/mmm (No. 123)
Unique sites:
Rb1 0.0000 0.5000 0.0000 (multiplicity 2)  2 As 3.42
Tl1 0.0000 0.0000 0.5000 (multiplicity 1)  8 Rb 4.16
Cr1 0.5000 0.5000 0.5000 (multiplicity 1)  2 As 2.37
As1 0.5000 0.5000 0.0000 (multiplicity 1)  2 Cr 2.37

E   -17.56 eV per cell
DFT formation energy   203 meV/atom


[7]
Below is an optimized crystal structure of Cr2ReAs, with properties calculated at the PBE level.

abc: 2.8298 3.9101 4.9030
angles: 90.00 90.00 90.00
With the nearest neighbours (Å) after each atom.
Space group Pmm2 (No. 25)
Unique sites:
Cr1 0.0000 0.0000 0.0000 (multiplicity 1)  2 Re 2.41-2.49, 4 As 2.66
Cr2 0.5000 0.5000 0.2683 (multiplicity 1)  2 As 2.43-2.47, 4 Re 2.65
Re1 0.0000 0.0000 0.4915 (multiplicity 1)  6 Cr 2.41-2.65
As1 0.5000 0.5000 0.7728 (multiplicity 1)  6 Cr 2.43-2.66

E   -35.42 eV per cell
DFT formation energy   230 meV/atom


[8]
Below is an optimized crystal structure of Cr2ReAs, with properties calculated at the PBE level.

abc: 3.0509 4.0946 8.3982
angles: 90.00 90.00 90.00
With the nearest neighbours (Å) after each atom.
Space group Immm (No. 71)
Unique sites:
Cr1 0.0000 0.0000 0.2427 (multiplicity 4)  2 As 2.55, 4 Cr 2.56, 2 Re 2.64
Re1 0.0000 0.5000 0.0000 (multiplicity 2)  4 As 2.55, 4 Cr 2.64
As1 0.0000 0.5000 0.5000 (multiplicity 2)  4 Cr 2.55, 4 Re 2.55

E   -71.34 eV per cell
DFT formation energy   169 meV/atom


[9]
Below is an optimized crystal structure of Cr2ReAs, with properties calculated at the PBE level.

abc: 2.7883 2.7883 24.2813
angles: 90.00 90.00 120.00
With the nearest neighbours (Å) after each atom.
Space group R-3m (No. 166, hexagonal axes)
Unique sites:
Cr1 0.0000 0.0000 0.2485 (multiplicity 6)  3 As 2.56, 3 Re 2.61, 6 Cr 2.79
Re1 0.0000 0.0000 0.0000 (multiplicity 3)  6 Cr 2.61, 6 Re 2.79
As1 0.0000 0.0000 0.5000 (multiplicity 3)  6 Cr 2.56, 6 As 2.79

E   -106.00 eV per cell
DFT formation energy   253 meV/atom


[10]
Below is an optimized crystal structure of CrRe2As4, with properties calculated at the PBE level.

abc: 6.8920 11.2203 7.0960
angles: 90.00 118.94 90.00
With the nearest neighbours (Å) after each atom.
Space group Cc (No. 9)
Unique sites:
Cr1 0.0000 0.1312 0.0000 (multiplicity 4)  5 As 2.34-2.60
Re1 0.4187 0.1323 0.3921 (multiplicity 4)  6 As 2.41-2.61
Re2 0.4802 0.3743 0.8969 (multiplicity 4)  6 As 2.44-2.61
As1 0.1231 0.2919 0.2774 (multiplicity 4)  3 Re 2.44-2.54, 2 Cr 2.45-2.50
As2 0.1365 0.2343 0.7567 (multiplicity 4)  3 Re 2.55-2.61, 1 Cr 2.60
As3 0.2987 0.4779 0.0952 (multiplicity 4)  2 Cr 2.50-2.80, 3 Re 2.51-2.61
As4 0.3117 0.0180 0.0664 (multiplicity 4)  1 Cr 2.34, 3 Re 2.41-2.57

E   -213.35 eV per cell
DFT formation energy   -31 meV/atom


[11]
Below is an optimized crystal structure of Cr2ReAs, with properties calculated at the PBE level.

abc: 2.9867 4.4355 8.4512
angles: 90.00 90.00 90.00
With the nearest neighbours (Å) after each atom.
Space group Cmm2 (No. 35)
Unique sites:
Cr1 0.0000 0.0000 0.0000 (multiplicity 2)  6 Cr 2.39-2.67, 2 Re 2.52
Cr2 0.0000 0.5000 0.2207 (multiplicity 2)  6 Cr 2.39-2.67, 2 As 2.54
Re1 0.0000 0.5000 0.7604 (multiplicity 2)  2 Cr 2.52, 4 Re 2.67
As1 0.0000 0.0000 0.4631 (multiplicity 2)  2 Cr 2.54, 4 As 2.67

E   -69.43 eV per cell
DFT formation energy   407 meV/atom


[12]
Below is an optimized crystal structure of Cr2ReAs, with properties calculated at the PBE level.

abc: 2.9923 2.9923 5.8810
angles: 90.00 90.00 90.00
With the nearest neighbours (Å) after each atom.
Space group P4mm (No. 99)
Unique sites:
Cr1 0.0000 0.0000 0.0000 (multiplicity 1)  4 Cr 2.46, 4 As 2.56
Cr2 0.5000 0.5000 0.2136 (multiplicity 1)  4 Cr 2.46, 4 Re 2.65, 1 As 2.70
Re1 0.0000 0.0000 0.4861 (multiplicity 1)  4 As 2.64, 5 Cr 2.65-2.86
As1 0.5000 0.5000 0.7548 (multiplicity 1)  5 Cr 2.56-2.70, 4 Re 2.64

E   -35.70 eV per cell
DFT formation energy   160 meV/atom